(1)
{
  "formula": "InHgBr4",
  "functional": "GGA-PBE",
  "state": "relaxed",
  "rho_g_cm3": 4.91,
  "total_energy_ry_per_atom": -0.1576,
  "crystal_system": "monoclinic",
  "e_above_lowest_polymorph_mev_per_atom": 0,
  "raw_formation_energy_ev_per_atom": -0.52,
  "lattice_angstrom": [[4.0735, 0.0000, 0.0000], [0.0000, 7.9105, 0.0832], [0.0000, 0.0481, 13.3314]],
  "species": ["In", "In", "Hg", "Hg", "Br", "Br", "Br", "Br", "Br", "Br", "Br", "Br"],
  "fractional_positions": [[0.5000, 0.5000, 0.5000], [0.0000, 0.0000, 0.0000], [0.0000, 0.0000, 0.5000], [0.5000, 0.5000, 0.0000], [0.4993, 0.2287, 0.3858], [0.9993, 0.2713, 0.1142], [0.5007, 0.7713, 0.6142], [0.0007, 0.7287, 0.8858], [0.0007, 0.6361, 0.3796], [0.5007, 0.8639, 0.1204], [0.9993, 0.3639, 0.6204], [0.4993, 0.1361, 0.8796]]
}


(2)
{
  "formula": "InHg2Br4",
  "functional": "GGA-PBE",
  "state": "relaxed",
  "rho_g_cm3": 5.48,
  "total_energy_ry_per_atom": -0.1351,
  "crystal_system": "tetragonal",
  "raw_formation_energy_ev_per_atom": -0.41,
  "lattice_angstrom": [[6.1179, 0.0000, 0.0000], [0.0000, 6.1179, 0.0000], [3.0590, 3.0590, 6.7623]],
  "species": ["Hg", "Hg", "Br", "Br", "Br", "Br", "In"],
  "fractional_positions": [[0.5994, 0.5994, 0.8012], [0.4006, 0.4006, 0.1988], [0.7903, 0.7903, 0.4195], [0.2097, 0.2097, 0.5805], [0.0000, 0.5000, 0.0000], [0.5000, 0.0000, 0.0000], [0.0000, 0.0000, 0.0000]]
}


(3)
{
  "formula": "In2HgIrBr",
  "functional": "GGA-PBE",
  "state": "relaxed",
  "rho_g_cm3": 8.07,
  "total_energy_ry_per_atom": -0.2533,
  "crystal_system": "tetragonal",
  "raw_formation_energy_ev_per_atom": -0.18,
  "lattice_angstrom": [[-3.6220, -0.9524, -3.6473], [1.0989, -5.1052, 0.2418], [-3.6478, -0.6061, 3.7807]],
  "species": ["Ir", "Hg", "Br", "In", "In"],
  "fractional_positions": [[0.0000, 0.0000, 0.0000], [0.0000, 0.0000, 0.5000], [0.5000, 0.5000, 0.5000], [0.0000, 0.5000, 0.0000], [0.5000, 0.0000, 0.0000]]
}


(4)
{
  "formula": "KInHgBr4",
  "functional": "GGA-PBE",
  "state": "relaxed",
  "rho_g_cm3": 3.67,
  "total_energy_ry_per_atom": -0.1852,
  "crystal_system": "monoclinic",
  "raw_formation_energy_ev_per_atom": -0.97,
  "lattice_angstrom": [[10.2828, 2.4046, -0.8640], [5.6749, 8.9058, -0.8640], [2.5881, 1.8344, 7.5556]],
  "species": ["K", "K", "In", "In", "Hg", "Hg", "Br", "Br", "Br", "Br", "Br", "Br", "Br", "Br"],
  "fractional_positions": [[0.2879, 0.2879, 0.7568], [0.7121, 0.7121, 0.2432], [0.6597, 0.6597, 0.7804], [0.3403, 0.3403, 0.2196], [0.9840, 0.9840, 0.2994], [0.0160, 0.0160, 0.7006], [0.2129, 0.2129, 0.4281], [0.7871, 0.7871, 0.5719], [0.1020, 0.6066, 0.0195], [0.4262, 0.4262, 0.3946], [0.3934, 0.8980, 0.9805], [0.6066, 0.1020, 0.0195], [0.5738, 0.5738, 0.6054], [0.8980, 0.3934, 0.9805]]
}


(5)
{
  "formula": "KInHgBr3",
  "functional": "GGA-PBE",
  "state": "relaxed",
  "rho_g_cm3": 3.42,
  "total_energy_ry_per_atom": -0.1772,
  "crystal_system": "monoclinic",
  "raw_formation_energy_ev_per_atom": -0.88,
  "lattice_angstrom": [[-3.6846, 3.5725, -0.8517], [-4.4112, -7.6941, 2.6988], [4.1186, 6.7959, 10.6871]],
  "species": ["K", "K", "In", "In", "Hg", "Hg", "Br", "Br", "Br", "Br", "Br", "Br"],
  "fractional_positions": [[0.6517, 0.3034, 0.5659], [0.3483, 0.6966, 0.4341], [0.0173, 0.0347, 0.2285], [0.9827, 0.9653, 0.7715], [0.2790, 0.5581, 0.9369], [0.7210, 0.4420, 0.0631], [0.9138, 0.8276, 0.3365], [0.8433, 0.6867, 0.5951], [0.5119, 0.0238, 0.1618], [0.1567, 0.3133, 0.4049], [0.4881, 0.9762, 0.8382], [0.0862, 0.1724, 0.6635]]
}


(6)
{
  "formula": "K2In2HgBr6",
  "functional": "GGA-PBE",
  "state": "relaxed",
  "rho_g_cm3": 2.78,
  "total_energy_ry_per_atom": -0.1952,
  "crystal_system": "triclinic",
  "raw_formation_energy_ev_per_atom": -1.02,
  "lattice_angstrom": [[8.1297, 0.0090, 0.0333], [4.0587, 8.8129, 0.2804], [0.0226, -4.7454, 8.1096]],
  "species": ["K", "K", "In", "In", "Hg", "Br", "Br", "Br", "Br", "Br", "Br"],
  "fractional_positions": [[0.8402, 0.3232, 0.7984], [0.1598, 0.6768, 0.2016], [0.0820, 0.8346, 0.8687], [0.9180, 0.1654, 0.1313], [0.5000, 0.0000, 0.5000], [0.4168, 0.6506, 0.8846], [0.0740, 0.3443, 0.1116], [0.0703, 0.8589, 0.6037], [0.9260, 0.6557, 0.8884], [0.9297, 0.1411, 0.3963], [0.5832, 0.3494, 0.1154]]
}


(7)
{
  "formula": "K2InHgBr6",
  "functional": "GGA-PBE",
  "state": "relaxed",
  "rho_g_cm3": 4.10,
  "total_energy_ry_per_atom": -0.1901,
  "crystal_system": "trigonal",
  "raw_formation_energy_ev_per_atom": -1.06,
  "lattice_angstrom": [[7.8708, 0.0001, 0.0006], [3.9355, 6.8162, 0.0002], [3.9352, 2.2723, 6.5916]],
  "species": ["K", "K", "In", "Hg", "Br", "Br", "Br", "Br", "Br", "Br"],
  "fractional_positions": [[0.5415, 0.5414, 0.3756], [0.0379, 0.0379, 0.8864], [0.3204, 0.3204, 0.0388], [0.8180, 0.8180, 0.5460], [0.5676, 0.1571, 0.2700], [0.1571, 0.0053, 0.2700], [0.0053, 0.5676, 0.2700], [0.4834, 0.6407, 0.7861], [0.6407, 0.0898, 0.7861], [0.0898, 0.4835, 0.7861]]
}


(8)
{
  "formula": "KInHgBr2",
  "functional": "GGA-PBE",
  "state": "relaxed",
  "rho_g_cm3": 4.19,
  "total_energy_ry_per_atom": -0.1686,
  "crystal_system": "tetragonal",
  "raw_formation_energy_ev_per_atom": -0.80,
  "lattice_angstrom": [[-0.3396, -1.8230, -5.7641], [1.3135, -5.6576, 1.7119], [-5.4237, -1.0610, 0.6551]],
  "species": ["K", "Hg", "Br", "Br", "In"],
  "fractional_positions": [[0.5000, 0.5000, 0.5000], [0.0000, 0.0000, 0.5000], [0.0000, 0.5000, 0.0000], [0.5000, 0.0000, 0.0000], [0.0000, 0.0000, 0.0000]]
}


(9)
{
  "formula": "LiIn2Hg2Br6",
  "functional": "GGA-PBE",
  "state": "relaxed",
  "rho_g_cm3": 5.24,
  "total_energy_ry_per_atom": -0.1699,
  "crystal_system": "monoclinic",
  "raw_formation_energy_ev_per_atom": -0.67,
  "lattice_angstrom": [[-2.5515, -6.9753, -3.1647], [4.1350, 4.5493, -3.0629], [3.9239, -4.5587, 6.8843]],
  "species": ["Li", "In", "In", "Hg", "Hg", "Br", "Br", "Br", "Br", "Br", "Br"],
  "fractional_positions": [[0.5000, 0.0000, 0.5000], [0.9885, 0.9770, 0.8363], [0.0115, 0.0230, 0.1637], [0.6275, 0.2549, 0.1580], [0.3725, 0.7451, 0.8420], [0.7505, 0.5009, 0.5465], [0.1389, 0.7870, 0.2338], [0.3519, 0.2130, 0.7662], [0.8611, 0.2130, 0.7662], [0.6481, 0.7870, 0.2338], [0.2495, 0.4991, 0.4535]]
}


(10)
{
  "formula": "LiInHgBr4",
  "functional": "GGA-PBE",
  "state": "relaxed",
  "rho_g_cm3": 4.00,
  "total_energy_ry_per_atom": -0.1850,
  "crystal_system": "monoclinic",
  "raw_formation_energy_ev_per_atom": -0.85,
  "lattice_angstrom": [[7.6881, 0.5147, 0.3124], [3.0323, 7.0836, 0.3124], [2.5019, 1.7733, 10.2137]],
  "species": ["Li", "Li", "In", "In", "Hg", "Hg", "Br", "Br", "Br", "Br", "Br", "Br", "Br", "Br"],
  "fractional_positions": [[0.2586, 0.2586, 0.7114], [0.7414, 0.7414, 0.2886], [0.6511, 0.6511, 0.7228], [0.3489, 0.3489, 0.2772], [0.0625, 0.0625, 0.2104], [0.9375, 0.9375, 0.7896], [0.1989, 0.1989, 0.5041], [0.8011, 0.8011, 0.4959], [0.0791, 0.5844, 0.1401], [0.5323, 0.5323, 0.3088], [0.4156, 0.9209, 0.8599], [0.5844, 0.0791, 0.1401], [0.4677, 0.4677, 0.6912], [0.9209, 0.4156, 0.8599]]
}


(11)
{
  "formula": "Li2In2HgBr6",
  "functional": "GGA-PBE",
  "state": "relaxed",
  "rho_g_cm3": 3.68,
  "total_energy_ry_per_atom": -0.1989,
  "crystal_system": "triclinic",
  "raw_formation_energy_ev_per_atom": -0.92,
  "lattice_angstrom": [[7.1470, -0.7487, 0.1164], [3.0146, 6.1377, -0.5893], [0.5179, -3.9072, 9.4292]],
  "species": ["Li", "Li", "In", "In", "Hg", "Br", "Br", "Br", "Br", "Br", "Br"],
  "fractional_positions": [[0.8185, 0.3066, 0.6383], [0.1815, 0.6934, 0.3617], [0.0946, 0.8152, 0.8539], [0.9054, 0.1848, 0.1461], [0.5000, 0.0000, 0.5000], [0.4882, 0.6925, 0.7622], [0.9508, 0.5655, 0.2008], [0.9510, 0.8921, 0.6397], [0.0492, 0.4345, 0.7992], [0.0490, 0.1079, 0.3603], [0.5118, 0.3075, 0.2378]]
}


(12)
{
  "formula": "InHg2MoBr",
  "functional": "GGA-PBE",
  "state": "relaxed",
  "rho_g_cm3": 5.77,
  "total_energy_ry_per_atom": -0.1651,
  "crystal_system": "tetragonal",
  "raw_formation_energy_ev_per_atom": 0.92,
  "lattice_angstrom": [[6.2885, 0.0000, 0.0000], [0.0000, 5.0361, 0.0000], [0.0000, 0.0000, 6.2885]],
  "species": ["Mo", "Hg", "Hg", "Br", "In"],
  "fractional_positions": [[0.0000, 0.5000, 0.0000], [0.0000, 0.0000, 0.5000], [0.5000, 0.0000, 0.0000], [0.0000, 0.0000, 0.0000], [0.5000, 0.5000, 0.5000]]
}